# TcTeIr2 | the Alexandria database | PBE-GGA | relaxed
# Density of states at the Fermi level = 22.34 states/eV per cell
# Electronic total energy = -7.150 eV/atom
# Formation energy without anion corrections = 63.4 kJ per mole of atoms
data_TcTeIr2
_symmetry_space_group_name_H-M 'I -4 2 d'
_symmetry_Int_Tables_number 122
_symmetry_space_group_name_Hall 'I -4 2bw'
_cell_length_a 5.9420
_cell_length_b 5.9420
_cell_length_c 10.7530
_cell_angle_alpha 90.00
_cell_angle_beta 90.00
_cell_angle_gamma 90.00
loop_
_atom_site_label
_atom_site_fract_x
_atom_site_fract_y
_atom_site_fract_z
Tc1 0.0000 0.0000 0.0000
Te1 0.0000 0.0000 0.5000
Ir1 0.2220 0.2500 0.1250